CoSbTeO6 | GGA+U | optimized geometry

extended XYZ file:
```
18
Lattice="-4.0299 -1.5606 -3.1316 4.3570 -3.0476 0.4595 -3.7822 -4.3468 7.0334" Properties=species:S:1:pos:R:3 pbc="T T T"
O -0.2559 -3.5772 -0.8141
O 2.4480 -4.1354 0.2949
O -5.9030 -4.8196 4.0663
O 0.3177 -5.6490 1.0221
O -2.1960 -5.7420 2.6816
O -4.4659 -7.3096 3.3003
O -3.1992 -5.3778 5.1754
O 1.4334 -3.6116 2.8813
O -1.2591 -3.2131 1.6797
O -4.8885 -5.3434 1.4800
O 1.0108 -1.6454 1.0610
O -3.7728 -3.3060 3.3392
Co -1.8911 -2.1734 3.5167
Co 0.0000 0.0000 0.0000
Sb -4.0709 -5.3164 3.3405
Sb 0.6158 -3.6386 1.0208
Te -2.1798 -3.1430 -0.1762
Te -1.2753 -5.8120 4.5375
```

Summary:
Energy   -102.9 eV per cell
Magnetic moment   2.34 μB per formula unit
N(E_F)   0.35 states/eV/atom
Calculated volume   12.5 A^3/atom